# 1
Compound: Pm3HgRh8
Source: Alexandria
Functional: PBE-GGA
Structure: relaxed

The density comes out at 11.09 g/cm³.

The space group is P3m1 (No. 156) and the conventional cell measures 5.3642, 5.3642 and 8.7681 Å, with angles of 90.00, 90.00 and 120.00 degrees. The distinct sites, in fractional coordinates, are Pm at (0.0000, 0.0000, 0.0000), Pm at (0.0000, 0.0000, 0.3770), Pm at (0.3333, 0.6667, 0.8419), Hg at (0.3333, 0.6667, 0.4790), Rh at (0.0049, 0.5024, 0.1791), Rh at (0.3321, 0.1661, 0.6784), Rh at (0.6667, 0.3333, 0.4303) and Rh at (0.6667, 0.3333, 0.9333).

---

# 2
Compound: V2FeCo
Source: Alexandria
Functional: PBE-GGA
Structure: relaxed

The density comes out at 7.11 g/cm³.

The space group is I-42d (No. 122) and the conventional cell measures 6.4157, 6.4157 and 4.9199 Å, with angles of 90.00, 90.00 and 90.00 degrees. The distinct sites, in fractional coordinates, are V at (0.2430, 0.7500, 0.1250), Fe at (0.0000, 0.0000, 0.5000) and Co at (0.0000, 0.0000, 0.0000).

---

# 3
Compound: Ac5Tb
Source: Alexandria
Functional: PBE-GGA
Structure: relaxed

The density comes out at 8.39 g/cm³. As for the energy relative to the lowest polymorph listed for this composition: 0.0 meV/atom.

The space group is Cmmm (No. 65) and the conventional cell measures 5.5352, 16.6557 and 5.5564 Å, with angles of 90.00, 90.00 and 90.00 degrees. The distinct sites, in fractional coordinates, are Ac at (0.0000, 0.0000, 0.0000), Ac at (0.0000, 0.1628, 0.5000), Ac at (0.0000, 0.3354, 0.0000) and Tb at (0.0000, 0.5000, 0.5000).

---

# 4
Compound: LaTb6Nd3
Source: Alexandria
Functional: PBE-GGA
Structure: relaxed

The density comes out at 7.47 g/cm³. As for the energy relative to the lowest polymorph listed for this composition: 130.8 meV/atom.

The space group is R3 (No. 146, hexagonal axes) and the conventional cell measures 9.9990, 9.9990 and 11.7506 Å, with angles of 90.00, 90.00 and 120.00 degrees. The distinct sites, in fractional coordinates, are La at (0.0000, 0.0000, 0.0000), Tb at (0.0001, 0.3275, 0.0006), Tb at (0.0000, 0.6753, 0.5006), Nd at (0.0000, 0.0000, 0.2501), Nd at (0.0000, 0.0000, 0.5000) and Nd at (0.0000, 0.0000, 0.7496).

---

# 5
Compound: Zr2InCl
Source: Alexandria
Functional: PBE-GGA
Structure: relaxed

The density comes out at 6.26 g/cm³. The calculation puts the raw formation energy at -358 meV/atom. As for the energy relative to the lowest polymorph listed for this composition: 225.3 meV/atom.

The space group is Immm (No. 71) and the conventional cell measures 3.1571, 5.7982 and 9.6480 Å, with angles of 90.00, 90.00 and 90.00 degrees. The distinct sites, in fractional coordinates, are Zr at (0.0000, 0.0000, 0.2237), In at (0.0000, 0.5000, 0.0000) and Cl at (0.0000, 0.5000, 0.5000).

---

# 6
Compound: ZrTi3Ru4
Source: Alexandria
Functional: PBE-GGA
Structure: relaxed

The density comes out at 8.61 g/cm³.

The space group is Pmmm (No. 47) and the conventional cell measures 3.1331, 4.4387 and 8.8587 Å, with angles of 90.00, 90.00 and 90.00 degrees. The distinct sites, in fractional coordinates, are Zr at (0.0000, 0.0000, 0.0000), Ti at (0.0000, 0.0000, 0.5000), Ti at (0.0000, 0.5000, 0.2570), Ru at (0.5000, 0.0000, 0.2600), Ru at (0.5000, 0.5000, 0.0000) and Ru at (0.5000, 0.5000, 0.5000).

---

# 7
Compound: Rb3AlSi
Source: Alexandria
Functional: PBE-GGA
Structure: relaxed

The density comes out at 1.66 g/cm³. The calculation puts the raw formation energy at 717 meV/atom. As for the energy relative to the lowest polymorph listed for this composition: 0.0 meV/atom.

The space group is Pm-3m (No. 221) and the conventional cell measures 6.7751, 6.7751 and 6.7751 Å, with angles of 90.00, 90.00 and 90.00 degrees. The distinct sites, in fractional coordinates, are Rb at (0.0000, 0.0000, 0.5000), Al at (0.5000, 0.5000, 0.5000) and Si at (0.0000, 0.0000, 0.0000).

---

# 8
Compound: BaAl3Au2
Source: Alexandria
Functional: PBE-GGA
Structure: relaxed

The density comes out at 7.49 g/cm³.

The space group is C2/m (No. 12) and the conventional cell measures 17.7584, 4.3396 and 10.8242 Å, with angles of 90.00, 102.51 and 90.00 degrees. The distinct sites, in fractional coordinates, are Ba at (0.0000, 0.0000, 0.0000), Ba at (0.1488, 0.0000, 0.7116), Al at (0.0000, 0.5000, 0.5000), Al at (0.0529, 0.0000, 0.3712), Al at (0.1371, 0.5000, 0.2136), Al at (0.1874, 0.5000, 0.9884), Al at (0.2144, 0.0000, 0.3896), Au at (0.0060, 0.5000, 0.7581), Au at (0.1495, 0.5000, 0.4618) and Au at (0.2006, 0.0000, 0.1351).

---

# 9
Compound: TlP2F
Source: Alexandria
Functional: PBE-GGA
Structure: relaxed

The density comes out at 6.92 g/cm³. The calculation puts the raw formation energy at 252 meV/atom. As for the energy relative to the lowest polymorph listed for this composition: 725.8 meV/atom.

The space group is Fm-3m (No. 225) and the conventional cell measures 6.4934, 6.4934 and 6.4934 Å, with angles of 90.00, 90.00 and 90.00 degrees. The distinct sites, in fractional coordinates, are Tl at (0.0000, 0.0000, 0.0000), P at (0.2500, 0.2500, 0.2500) and F at (0.0000, 0.0000, 0.5000).

---

# 10
Compound: Tb2Hg2Au
Source: Alexandria
Functional: PBE-GGA
Structure: relaxed

The density comes out at 11.99 g/cm³. As for the energy relative to the lowest polymorph listed for this composition: 0.0 meV/atom.

The space group is Cmmm (No. 65) and the conventional cell measures 3.6375, 20.0541 and 3.4773 Å, with angles of 90.00, 90.00 and 90.00 degrees. The distinct sites, in fractional coordinates, are Tb at (0.0000, 0.0925, 0.0000), Hg at (0.0000, 0.3078, 0.5000) and Au at (0.0000, 0.5000, 0.5000).

---

# 11
Compound: TbSmRuAu
Source: Alexandria
Functional: PBE-GGA
Structure: relaxed

The density comes out at 11.31 g/cm³. As for the energy relative to the lowest polymorph listed for this composition: 71.4 meV/atom.

The space group is F-43m (No. 216) and the conventional cell measures 7.0910, 7.0910 and 7.0910 Å, with angles of 90.00, 90.00 and 90.00 degrees. The distinct sites, in fractional coordinates, are Tb at (0.0000, 0.0000, 0.0000), Sm at (0.0000, 0.0000, 0.5000), Ru at (0.2500, 0.2500, 0.2500) and Au at (0.2500, 0.2500, 0.7500).

---

# 12
Compound: TbErC
Source: Alexandria
Functional: PBE-GGA
Structure: relaxed

The density comes out at 8.19 g/cm³. As for the energy relative to the lowest polymorph listed for this composition: 22.3 meV/atom.

The space group is P3m1 (No. 156) and the conventional cell measures 3.5621, 3.5621 and 6.2435 Å, with angles of 90.00, 90.00 and 120.00 degrees. The distinct sites, in fractional coordinates, are Tb at (0.0000, 0.0000, 0.0000), Er at (0.3333, 0.6667, 0.4326) and C at (0.6667, 0.3333, 0.2209).

---

no.,raw total energy (eV per atom)
1,-6.624
2,-8.097
3,-4.160
4,-4.423
5,-5.778
6,-9.364
7,-1.697
8,-3.795
9,-3.513
10,-3.123
11,-5.990
12,-6.406